[1]
A relaxed Pm2Cu4Si3Ge crystal. Source: Alexandria, functional PBE.

Cell and atoms, written as extended XYZ:
```
10
Lattice="-0.553 1.255 -3.866 0.526 -3.847 -1.324 -9.792 -1.638 0.868" Properties=species:S:1:pos:R:3 pbc="T T T"
Si -8.814 -0.800 -1.176
Cu -0.013 -1.296 -2.595
Cu -3.311 -2.521 -0.345
Cu 0.000 0.000 0.000
Cu -6.495 -0.413 -1.382
Si -0.992 -2.133 -0.551
Pm -7.127 -3.159 -0.007
Pm -2.679 0.226 -1.720
Si -4.896 -0.819 0.434
Ge -4.910 -2.115 -2.161
```

Values from the calculation:
raw formation energy	-532	meV/atom
crystal system	tetragonal
calculated total energy	-52.09	eV per cell
mass density	6.9	g/cm³


[2]
A relaxed Pm2Cu4SiGe3 crystal. Source: Alexandria, functional PBE.

Cell and atoms, written as extended XYZ:
```
10
Lattice="-0.977 2.435 3.222 0.191 -3.284 2.540 9.752 1.802 1.595" Properties=species:S:1:pos:R:3 pbc="T T T"
Cu 3.733 -0.970 1.865
Cu 0.000 0.000 0.000
Si 4.483 0.477 3.679
Ge 7.971 2.781 2.995
Ge 1.388 -1.403 1.481
Pm 1.954 1.669 2.011
Ge 4.876 0.901 0.798
Pm 7.404 -0.291 2.465
Cu 5.626 2.348 2.611
Cu -0.393 -0.424 2.881
```

Values from the calculation:
raw formation energy	-514	meV/atom
crystal system	tetragonal
calculated total energy	-50.30	eV per cell
mass density	7.6	g/cm³


[3]
A relaxed Pm2Cu3SnGe4 crystal. Source: Alexandria, functional PBE.

Cell and atoms, written as extended XYZ:
```
10
Lattice="4.321 0.000 0.000 0.000 4.321 0.000 0.000 0.000 10.423" Properties=species:S:1:pos:R:3 pbc="T T T"
Sn 2.160 2.160 5.212
Cu 2.160 0.000 9.182
Ge 0.000 2.160 3.599
Ge 0.000 0.000 0.000
Ge 2.160 2.160 0.000
Cu 0.000 0.000 5.212
Pm 0.000 2.160 7.994
Pm 2.160 0.000 2.429
Cu 0.000 2.160 1.242
Ge 2.160 0.000 6.824
```

Values from the calculation:
crystal system	tetragonal
calculated total energy	-47.91	eV per cell
mass density	7.6	g/cm³
formation enthalpy at 0 K	-0.364	eV/atom


[4]
A relaxed PmCuSnGe crystal. Source: Alexandria, functional PBE.

Cell and atoms, written as extended XYZ:
```
4
Lattice="-3.920 3.078 -0.030 -3.325 -0.163 3.710 -0.256 3.742 3.283" Properties=species:S:1:pos:R:3 pbc="T T T"
Pm -5.626 4.993 5.222
Cu 0.000 0.000 0.000
Ge -3.751 3.329 3.481
Sn -1.875 1.664 1.741
```

Values from the calculation:
crystal system	cubic
calculated total energy	-18.20	eV per cell
mass density	7.6	g/cm³
formation enthalpy at 0 K	-0.184	eV/atom


[5]
A relaxed SrPmCuGe crystal. Source: Alexandria, functional PBE.

Cell and atoms, written as extended XYZ:
```
4
Lattice="5.234 0.000 0.000 2.617 4.533 0.000 2.617 1.511 4.273" Properties=species:S:1:pos:R:3 pbc="T T T"
Cu 7.851 4.533 3.205
Pm 0.000 0.000 0.000
Sr 5.234 3.022 2.137
Ge 2.617 1.511 1.068
```

Values from the calculation:
crystal system	cubic
calculated total energy	-16.57	eV per cell
mass density	6.0	g/cm³
formation enthalpy at 0 K	-0.357	eV/atom


[6]
A relaxed TbPmCu2Ge2 crystal. Source: Alexandria, functional PBE.

Cell and atoms, written as extended XYZ:
```
6
Lattice="-2.451 3.270 -1.240 -1.316 -4.014 -0.630 -3.382 0.042 6.794" Properties=species:S:1:pos:R:3 pbc="T T T"
Cu -2.958 0.853 0.742
Cu -4.191 -1.555 4.182
Ge -4.588 0.873 4.016
Pm 0.000 0.000 0.000
Ge -2.561 -1.575 0.907
Tb -1.691 0.021 3.397
```

Values from the calculation:
crystal system	trigonal
calculated total energy	-30.91	eV per cell
mass density	8.0	g/cm³
formation enthalpy at 0 K	-0.684	eV/atom